Compound: SrRe2Os
Source: the Alexandria database
Functional: GGA-PBE
Structure: optimized geometry

Lattice parameters (Å, degrees): 5.145 5.145 5.661 76.53 76.53 34.65
Atoms (fractional coordinates):
Sr: 0.250 0.250 0.250
Re: 0.467 0.467 0.602
Re: 0.033 0.033 0.898
Os: 0.750 0.750 0.750

Properties
theoretical density	13.07	g/cm3
magnetic moment	0.00	Bohr magnetons per cell
energy	-8.669	eV/atom
ΔH_f (0 K)	0.78	eV per atom
symmetry	C2/m (12)
V	20.7	Å³/atom
relative energy among the computed polymorphs	123	meV/atom